Record 1
Density functional theory data (PBE-GGA) for a relaxed structure of NaSeBr2.

Computed properties:
Distance to the lowest polymorph of the same formula in meV per atom: 639
Crystal system: trigonal
Symmetry: R-3m
Size of the total moment in μB per formula unit: 0.84

abc: 10.1341 10.1341 10.1341
angles: 21.43 21.43 21.43
Site moments in Bohr magnetons follow the coordinates.
Atoms (fractional coordinates):
Na1 0.0000 0.0000 0.0000  0.00
Se1 0.5000 0.5000 0.5000  0.45
Br1 0.9110 0.9110 0.9110  0.05
Br2 0.0890 0.0890 0.0890  0.05

Record 2
Density functional theory data (PBE-GGA) for a relaxed structure of NbTlPCl2.

Computed properties:
Distance to the lowest polymorph of the same formula in meV per atom: 0
Crystal system: tetragonal
Symmetry: P4/mmm
Size of the total moment in μB per formula unit: 0.21

abc: 5.0369 5.0369 4.9018
angles: 90.00 90.00 90.00
Site moments in Bohr magnetons follow the coordinates.
Atoms (fractional coordinates):
P1 0.0000 0.0000 0.5000  -0.01
Tl1 0.5000 0.5000 0.5000  0.00
Nb1 0.0000 0.0000 0.0000  0.19
Cl1 0.0000 0.5000 0.0000  0.01
Cl2 0.5000 0.0000 0.0000  0.01

Record 3
Density functional theory data (PBE-GGA) for a relaxed structure of AcGdHo2.

Computed properties:
Distance to the lowest polymorph of the same formula in meV per atom: 62
Crystal system: cubic
Symmetry: Fm-3m
Size of the total moment in μB per formula unit: 7.77

abc: 5.8243 5.8243 5.8243
angles: 60.00 60.00 60.00
Site moments in Bohr magnetons follow the coordinates.
Atoms (fractional coordinates):
Ac1 0.5000 0.5000 0.5000  -0.01
Gd1 0.0000 0.0000 0.0000  7.24
Ho1 0.2500 0.2500 0.2500  0.09
Ho2 0.7500 0.7500 0.7500  0.09

Record 4
Density functional theory data (PBE-GGA) for a relaxed structure of Tm2IrOs.

Computed properties:
Distance to the lowest polymorph of the same formula in meV per atom: 0
Crystal system: tetragonal
Symmetry: P4/mmm
Size of the total moment in μB per formula unit: 0.00

abc: 3.3668 3.3668 6.7338
angles: 90.00 90.00 90.00
Atoms (fractional coordinates):
Tm1 0.0000 0.0000 0.7544
Tm2 0.0000 0.0000 0.2456
Ir1 0.5000 0.5000 0.5000
Os1 0.5000 0.5000 0.0000